Material: V6ReRh5
Method: DFT, PBE-GGA
State: relaxed

Computed properties:
Formation energy from the elements ... -285.3 meV/atom
Uncorrected energy ... -8.95 eV/atom

Lattice parameters (Å, degrees): 3.9457 11.8089 7.1488 90.00 90.00 90.00
Last column: nearest neighbours and their distance in Å.
Space group Cmmm (No. 65)
Inequivalent atoms, fractional coordinates:
V: 0.0000 0.0000 0.2465 [4 per cell]  2 Re 2.65, 6 Rh 2.67-2.68, 4 V 2.78
V: 0.0000 0.3338 0.2483 [8 per cell]  7 Rh 2.62-2.67, 1 Re 2.65, 4 V 2.78-2.79
Re: 0.0000 0.5000 0.0000 [2 per cell]  8 V 2.65, 4 Rh 2.82
Rh: 0.0000 0.1664 0.5000 [4 per cell]  8 V 2.67, 4 Rh 2.78-2.79
Rh: 0.0000 0.1709 0.0000 [4 per cell]  8 V 2.62-2.68, 2 Rh 2.72, 2 Re 2.82
Rh: 0.0000 0.5000 0.5000 [2 per cell]  8 V 2.66-2.68, 4 Rh 2.78


Material: VReRh4
Method: DFT, PBE-GGA
State: relaxed

Computed properties:
Energy relative to the lowest polymorph listed for this composition ... 255 meV/atom
Formation energy from the elements ... -15.2 meV/atom
Uncorrected energy ... -8.51 eV/atom

Lattice parameters (Å, degrees): 5.2080 7.3670 5.1921 90.00 117.62 90.00
Last column: nearest neighbours and their distance in Å.
Space group C2/m (No. 12)
Inequivalent atoms, fractional coordinates:
V: 0.0000 0.0000 0.0000 [2 per cell]  8 Rh 2.63-2.66, 2 Re 2.69
Re: 0.0000 0.5000 0.5000 [2 per cell]  8 Rh 2.62-2.67, 2 V 2.69
Rh: 0.2480 0.3116 0.2490 [8 per cell]  2 Re 2.62-2.67, 2 V 2.63-2.66, 7 Rh 2.68-2.78


Material: V3Re2Rh
Method: DFT, PBE-GGA
State: relaxed

Computed properties:
Formation energy from the elements ... -304.7 meV/atom
Uncorrected energy ... -10.24 eV/atom

Lattice parameters (Å, degrees): 3.0414 3.0414 9.1044 90.00 90.00 90.00
Last column: nearest neighbours and their distance in Å.
Space group P4/mmm (No. 123)
Inequivalent atoms, fractional coordinates:
V: 0.0000 0.0000 0.0000 [1 per cell]  8 Re 2.64
V: 0.0000 0.0000 0.3264 [2 per cell]  4 Re 2.59, 4 Rh 2.67
Re: 0.5000 0.5000 0.1680 [2 per cell]  8 V 2.59-2.64
Rh: 0.5000 0.5000 0.5000 [1 per cell]  8 V 2.67


Material: V2ReRh8
Method: DFT, PBE-GGA
State: relaxed

Computed properties:
Formation energy from the elements ... -167.4 meV/atom
Uncorrected energy ... -8.30 eV/atom

Lattice parameters (Å, degrees): 4.0182 6.5356 12.0886 90.00 90.00 90.00
Last column: nearest neighbours and their distance in Å.
Space group Immm (No. 71)
Inequivalent atoms, fractional coordinates:
V: 0.0000 0.0000 0.1988 [4 per cell]  10 Rh 2.50-2.75
Re: 0.0000 0.0000 0.5000 [2 per cell]  12 Rh 2.64-2.79
Rh: 0.0000 0.2033 0.0000 [4 per cell]  7 Rh 2.66-2.73, 2 V 2.75, 2 Re 2.79
Rh: 0.0000 0.2876 0.3466 [8 per cell]  3 V 2.50-2.59, 1 Re 2.64, 6 Rh 2.73-2.78
Rh: 0.0000 0.5000 0.1520 [4 per cell]  8 Rh 2.67-2.75, 2 V 2.70, 2 Re 2.72


Material: VRe2Rh
Method: DFT, PBE-GGA
State: relaxed

Computed properties:
Energy relative to the lowest polymorph listed for this composition ... 298 meV/atom
Formation energy from the elements ... 195.0 meV/atom
Uncorrected energy ... -10.15 eV/atom

Lattice parameters (Å, degrees): 6.1500 6.1500 6.1500 90.00 90.00 90.00
Last column: nearest neighbours and their distance in Å.
Space group Fm-3m (No. 225)
Inequivalent atoms, fractional coordinates:
V: 0.0000 0.0000 0.0000 [4 per cell]  8 Re 2.66
Re: 0.2500 0.2500 0.2500 [8 per cell]  4 Rh 2.66, 4 V 2.66
Rh: 0.0000 0.0000 0.5000 [4 per cell]  8 Re 2.66


Material: VReRh3
Method: DFT, PBE-GGA
State: relaxed

Computed properties:
Energy relative to the lowest polymorph listed for this composition ... 0 meV/atom
Formation energy from the elements ... -199.7 meV/atom
Uncorrected energy ... -8.92 eV/atom

Lattice parameters (Å, degrees): 4.6863 5.3986 6.1136 102.59 97.58 106.66
Last column: nearest neighbours and their distance in Å.
Space group P-1 (No. 2)
Inequivalent atoms, fractional coordinates:
V: 0.1030 0.4593 0.2195 [2 per cell]  8 Rh 2.63-2.82, 3 Re 2.68-2.83, 1 V 2.90
Re: 0.0929 0.9551 0.1962 [2 per cell]  1 Re 2.64, 8 Rh 2.66-2.81, 3 V 2.68-2.83
Rh: 0.2977 0.3503 0.6032 [2 per cell]  3 V 2.63-2.68, 7 Rh 2.69-2.76, 2 Re 2.70-2.75
Rh: 0.3001 0.8507 0.6084 [2 per cell]  2 V 2.64-2.66, 3 Re 2.66-2.81, 7 Rh 2.67-2.78
Rh: 0.4885 0.7457 0.9996 [2 per cell]  6 Rh 2.67-2.72, 3 V 2.71-2.82, 3 Re 2.71-2.75


Material: V2ReRh9
Method: DFT, PBE-GGA
State: relaxed

Computed properties:
Formation energy from the elements ... -265.3 meV/atom
Uncorrected energy ... -8.34 eV/atom

Lattice parameters (Å, degrees): 3.8249 3.8249 11.4805 90.00 90.00 90.00
Last column: nearest neighbours and their distance in Å.
Space group P4/mmm (No. 123)
Inequivalent atoms, fractional coordinates:
V: 0.0000 0.0000 0.1616 [2 per cell]  12 Rh 2.66-2.75
Re: 0.0000 0.0000 0.5000 [1 per cell]  12 Rh 2.70-2.71
Rh: 0.0000 0.5000 0.0000 [2 per cell]  4 V 2.66, 8 Rh 2.70-2.71
Rh: 0.0000 0.5000 0.3332 [4 per cell]  8 Rh 2.70-2.71, 2 Re 2.71, 2 V 2.75
Rh: 0.5000 0.5000 0.1670 [2 per cell]  8 Rh 2.70-2.71, 4 V 2.71
Rh: 0.5000 0.5000 0.5000 [1 per cell]  4 Re 2.70, 8 Rh 2.71


Material: VRe2Rh6
Method: DFT, PBE-GGA
State: relaxed

Computed properties:
Formation energy from the elements ... -166.0 meV/atom
Uncorrected energy ... -8.85 eV/atom

Lattice parameters (Å, degrees): 8.5714 3.8487 8.1583 90.00 108.12 90.00
Last column: nearest neighbours and their distance in Å.
Space group C2/m (No. 12)
Inequivalent atoms, fractional coordinates:
V: 0.0000 0.0000 0.0000 [2 per cell]  8 Rh 2.60-2.73, 4 Re 2.76
Re: 0.1716 0.5000 0.2271 [4 per cell]  10 Rh 2.66-2.75, 2 V 2.76
Rh: 0.0006 0.0000 0.3184 [4 per cell]  1 V 2.60, 3 Re 2.66-2.68, 7 Rh 2.69-2.79
Rh: 0.1645 0.5000 0.8956 [4 per cell]  3 V 2.68-2.73, 5 Rh 2.68-2.78, 4 Re 2.69-2.75
Rh: 0.1688 0.5000 0.5563 [4 per cell]  3 Re 2.68-2.69, 9 Rh 2.70-2.79